This record from the Alexandria database describes crystalline CaMoS2O8 at its relaxed geometry. The functional is PBE with a Hubbard U.

Properties
Total energy   -6.37 eV/atom
M_tot   2.0 μB/f.u.

Cell: 5.2267 5.2267 7.0042 Å, 90.00 90.00 120.00°
Atoms (fractional coordinates):
Ca  0.0000  0.0000  0.0000
Mo  0.0000  0.0000  0.5000
S  0.3333  0.6667  0.7917
S  0.6667  0.3333  0.2083
O  0.1756  0.3533  0.7244
O  0.1777  0.8244  0.7244
O  0.3333  0.6667  0.0013
O  0.3533  0.1777  0.2756
O  0.6467  0.8223  0.7244
O  0.6667  0.3333  0.9987
O  0.8223  0.1756  0.2756
O  0.8244  0.6467  0.2756


This record from the Alexandria database describes crystalline Ca2MoSO at its relaxed geometry. The functional is PBE with a Hubbard U.

Properties
Total energy   -4.67 eV/atom
M_tot   4.0 μB/f.u.

Cell: 4.3687 4.3687 6.2637 Å, 90.00 90.00 90.00°
Atoms (fractional coordinates):
Ca  0.0000  0.5000  0.0000
Ca  0.5000  0.0000  0.0000
Mo  0.0000  0.0000  0.5000
S  0.5000  0.5000  0.5000
O  0.5000  0.5000  0.0000


This record from the Alexandria database describes crystalline CaSbMoO6 at its relaxed geometry. The functional is PBE with a Hubbard U.

Properties
Total energy   -6.71 eV/atom
M_tot   1.0 μB/f.u.

Cell: 5.3499 5.3499 10.0819 Å, 90.00 90.00 120.00°
Atoms (fractional coordinates):
Ca  0.0000  0.0000  0.0000
Ca  0.0000  0.0000  0.5000
Sb  0.3333  0.6667  0.2500
Sb  0.6667  0.3333  0.7500
Mo  0.3333  0.6667  0.7500
Mo  0.6667  0.3333  0.2500
O  0.9996  0.3734  0.1412
O  0.0004  0.3738  0.6412
O  0.9996  0.6262  0.3588
O  0.0004  0.6266  0.8588
O  0.3734  0.9996  0.6412
O  0.3734  0.3738  0.8588
O  0.3738  0.0004  0.1412
O  0.3738  0.3734  0.3588
O  0.6262  0.9996  0.8588
O  0.6262  0.6266  0.6412
O  0.6266  0.0004  0.3588
O  0.6266  0.6262  0.1412


This record from the Alexandria database describes crystalline CaSbMo2O at its relaxed geometry. The functional is PBE with a Hubbard U.

Properties
Total energy   -4.00 eV/atom
M_tot   9.0 μB/f.u.

Cell: 5.5327 5.5327 6.0266 Å, 90.00 90.00 90.00°
Atoms (fractional coordinates):
Ca  0.0000  0.0000  0.0000
Sb  0.0000  0.0000  0.5000
Mo  0.0000  0.5000  0.5000
Mo  0.5000  0.0000  0.5000
O  0.5000  0.5000  0.0000


This record from the Alexandria database describes crystalline CaSc2MoO6 at its relaxed geometry. The functional is PBE with a Hubbard U.

Properties
Total energy   -8.02 eV/atom
M_tot   2.0 μB/f.u.

Cell: 5.4574 5.4624 5.7837 Å, 90.34 117.49 119.46°
Atoms (fractional coordinates):
Ca  0.0000  0.0000  0.0000
Sc  0.5547  0.2758  0.8279
Sc  0.5673  0.7893  0.3526
Mo  0.9639  0.4790  0.4451
O  0.0765  0.4321  0.1596
O  0.0845  0.2069  0.6371
O  0.4564  0.8915  0.6417
O  0.5076  0.0816  0.1524
O  0.7386  0.6521  0.1628
O  0.7652  0.5664  0.6377


This record from the Alexandria database describes crystalline Ca3Si3Mo2O12 at its relaxed geometry. The functional is PBE with a Hubbard U.

Properties
Total energy   -7.50 eV/atom
M_tot   6.0 μB/f.u.

Cell: 10.7761 10.7761 10.7761 Å, 109.47 109.47 109.47°
Atoms (fractional coordinates):
Ca  0.1250  0.2500  0.3750
Ca  0.1250  0.3750  0.7500
Ca  0.2500  0.3750  0.1250
Ca  0.2500  0.8750  0.6250
Ca  0.3750  0.1250  0.2500
Ca  0.3750  0.7500  0.1250
Ca  0.6250  0.2500  0.8750
Ca  0.6250  0.8750  0.7500
Ca  0.7500  0.1250  0.3750
Ca  0.7500  0.6250  0.8750
Ca  0.8750  0.6250  0.2500
Ca  0.8750  0.7500  0.6250
Si  0.1250  0.7500  0.8750
Si  0.1250  0.8750  0.2500
Si  0.2500  0.1250  0.8750
Si  0.2500  0.6250  0.3750
Si  0.3750  0.2500  0.6250
Si  0.3750  0.6250  0.7500
Si  0.6250  0.3750  0.2500
Si  0.6250  0.7500  0.3750
Si  0.7500  0.3750  0.6250
Si  0.7500  0.8750  0.1250
Si  0.8750  0.1250  0.7500
Si  0.8750  0.2500  0.1250
Mo  0.0000  0.0000  0.0000
Mo  0.0000  0.0000  0.5000
Mo  0.0000  0.5000  0.0000
Mo  0.0000  0.5000  0.5000
Mo  0.5000  0.0000  0.0000
Mo  0.5000  0.0000  0.5000
Mo  0.5000  0.5000  0.0000
Mo  0.5000  0.5000  0.5000
O  0.0110  0.2120  0.1198
O  0.0110  0.2990  0.8912
O  0.0921  0.7120  0.7010
O  0.0921  0.8802  0.3912
O  0.1088  0.6198  0.4079
O  0.1088  0.9890  0.7010
O  0.1198  0.0110  0.2120
O  0.1198  0.6088  0.9079
O  0.2010  0.2120  0.5921
O  0.2010  0.4890  0.6088
O  0.2120  0.1198  0.0110
O  0.2120  0.5921  0.2010
O  0.2880  0.2990  0.9079
O  0.2880  0.4890  0.3802
O  0.2990  0.8912  0.0110
O  0.2990  0.9079  0.2880
O  0.3802  0.2880  0.4890
O  0.3802  0.5921  0.8912
O  0.3912  0.0921  0.8802
O  0.3912  0.7990  0.5110
O  0.4079  0.1088  0.6198
O  0.4079  0.7990  0.7880
O  0.4890  0.3802  0.2880
O  0.4890  0.6088  0.2010
O  0.5110  0.3912  0.7990
O  0.5110  0.6198  0.7120
O  0.5921  0.2010  0.2120
O  0.5921  0.8912  0.3802
O  0.6088  0.2010  0.4890
O  0.6088  0.9079  0.1198
O  0.6198  0.4079  0.1088
O  0.6198  0.7120  0.5110
O  0.7010  0.0921  0.7120
O  0.7010  0.1088  0.9890
O  0.7120  0.5110  0.6198
O  0.7120  0.7010  0.0921
O  0.7880  0.4079  0.7990
O  0.7880  0.8802  0.9890
O  0.7990  0.5110  0.3912
O  0.7990  0.7880  0.4079
O  0.8802  0.3912  0.0921
O  0.8802  0.9890  0.7880
O  0.8912  0.0110  0.2990
O  0.8912  0.3802  0.5921
O  0.9079  0.1198  0.6088
O  0.9079  0.2880  0.2990
O  0.9890  0.7010  0.1088
O  0.9890  0.7880  0.8802


This record from the Alexandria database describes crystalline CaSiMoO5 at its relaxed geometry. The functional is PBE with a Hubbard U.

Properties
Total energy   -7.46 eV/atom
M_tot   2.0 μB/f.u.

Cell: 5.6252 5.6252 7.3380 Å, 104.37 104.37 105.95°
Atoms (fractional coordinates):
Ca  0.1678  0.8322  0.7500
Ca  0.8322  0.1678  0.2500
Si  0.1802  0.8198  0.2500
Si  0.8198  0.1802  0.7500
Mo  0.5000  0.5000  0.0000
Mo  0.5000  0.5000  0.5000
O  0.1160  0.2419  0.9054
O  0.1757  0.6119  0.3745
O  0.2419  0.1160  0.4054
O  0.3881  0.8243  0.1255
O  0.4200  0.5800  0.7500
O  0.5800  0.4200  0.2500
O  0.6119  0.1757  0.8745
O  0.7581  0.8840  0.5946
O  0.8243  0.3881  0.6255
O  0.8840  0.7581  0.0946


This record from the Alexandria database describes crystalline CaSmMo2O8 at its relaxed geometry. The functional is PBE with a Hubbard U.

Properties
Total energy   -7.40 eV/atom
M_tot   1.0 μB/f.u.

Cell: 6.8809 6.8809 6.8809 Å, 134.64 134.64 66.09°
Atoms (fractional coordinates):
Ca  0.0000  0.0000  0.0000
Sm  0.7500  0.2500  0.5000
Mo  0.2500  0.7500  0.5000
Mo  0.5000  0.5000  0.0000
O  0.0012  0.9261  0.5906
O  0.0739  0.6645  0.0752
O  0.1749  0.2585  0.6015
O  0.3355  0.4107  0.4094
O  0.4266  0.8251  0.0836
O  0.5893  0.9988  0.9248
O  0.6570  0.5734  0.3985
O  0.7415  0.3430  0.9164